P | La5In GGA-PBE optimized geometry; volume = 33.71 Å³/atom
1.0
-4.7091 2.7327 -3.1443
1.2528 -6.0967 -0.8888
-3.7279 -1.4023 4.3644
La In
5 1
Direct
0.3333 0.6914 0.0000
0.0247 0.0000 0.0000
0.6419 0.3086 0.0000
0.6667 0.6667 0.5000
0.0000 0.3333 0.5000
0.3333 0.0000 0.5000

Q | La5In GGA-PBE optimized geometry; volume = 34.94 Å³/atom
1.0
5.0484 -3.4409 2.6720
3.1904 2.3755 5.3521
-0.7550 -2.9701 5.9224
La In
5 1
Direct
0.1230 0.6257 0.6257
0.6257 0.1230 0.6257
0.2500 0.2500 0.2500
0.6257 0.6257 0.6257
0.6257 0.6257 0.1230
0.0000 0.0000 0.0000

Computed stability ranking, most favorable first: P, Q

P | LiLa4In GGA-PBE optimized geometry; volume = 33.85 Å³/atom
1.0
5.0651 -4.0480 1.2225
4.5976 1.7083 4.4136
0.3696 -3.1712 5.7743
La In Li
4 1 1
Direct
0.8852 0.3716 0.3716
0.3716 0.8852 0.3716
0.3716 0.3716 0.3716
0.3716 0.3716 0.8852
0.0000 0.0000 0.0000
0.7500 0.7500 0.7500

Q | LiLa4In GGA-PBE optimized geometry; volume = 32.27 Å³/atom
1.0
0.4820 3.5734 1.5828
-4.6158 0.5584 5.0435
8.3295 -0.2363 2.8956
La Li In
4 1 1
Direct
0.6684 0.9871 0.6760
0.1811 0.4687 0.1690
0.8189 0.5313 0.8310
0.3316 0.0129 0.3240
0.0000 0.0000 0.0000
0.5000 0.5000 0.5000

Computed stability ranking, most favorable first: Q, P

P | LiLaIn3 GGA-PBE optimized geometry; volume = 25.04 Å³/atom
1.0
4.5882 0.0000 0.0000
0.0000 4.5882 0.0000
-2.2941 -2.2941 5.9484
In Li La
3 1 1
Direct
0.2568 0.7568 0.5135
0.4221 0.4221 0.8443
0.7568 0.2568 0.5135
0.6369 0.6369 0.2738
0.0177 0.0177 0.0354

Q | LiLaIn3 GGA-PBE optimized geometry; volume = 25.40 Å³/atom
1.0
5.0262 0.0000 0.0000
0.0000 5.0262 0.0000
0.0000 0.0000 5.0262
Li La In
1 1 3
Direct
0.0000 0.0000 0.0000
0.5000 0.5000 0.5000
0.0000 0.0000 0.5000
0.5000 0.0000 0.0000
0.0000 0.5000 0.0000

Computed stability ranking, most favorable first: P, Q

P | LiLaIn3 GGA-PBE optimized geometry; volume = 45.18 Å³/atom
1.0
6.0901 0.0000 0.0000
0.0000 6.0901 0.0000
0.0000 0.0000 6.0901
In Li La
3 1 1
Direct
0.5000 0.0000 0.0000
0.0000 0.0000 0.5000
0.0000 0.5000 0.0000
0.5000 0.5000 0.5000
0.0000 0.0000 0.0000

Q | LiLaIn3 GGA-PBE optimized geometry; volume = 27.05 Å³/atom
1.0
5.2930 0.0000 -2.9263
-2.6185 7.9348 -4.7362
0.5244 -1.3432 7.1985
Li La In
2 2 6
Direct
0.5000 0.0000 0.0000
0.0000 0.5000 0.0000
0.2500 0.2734 0.5000
0.7500 0.7266 0.5000
0.7324 0.7324 0.9648
0.7500 0.1016 0.5000
0.7676 0.2676 0.0352
0.2676 0.2676 0.0352
0.2324 0.7324 0.9648
0.2500 0.8984 0.5000

Computed stability ranking, most favorable first: Q, P

P | Li3LaIn3 GGA-PBE optimized geometry; volume = 25.87 Å³/atom
1.0
-3.4826 3.0594 5.4148
3.1997 -4.4402 4.5667
5.3331 4.6619 0.7961
Li In La
6 6 2
Direct
0.0000 0.2500 0.5000
0.7500 0.5000 0.0000
0.5000 0.0000 0.7500
0.2500 0.5000 0.0000
0.5000 0.0000 0.2500
0.0000 0.7500 0.5000
0.0000 0.5000 0.2500
0.2500 0.0000 0.5000
0.7500 0.0000 0.5000
0.0000 0.5000 0.7500
0.5000 0.7500 0.0000
0.5000 0.2500 0.0000
0.5000 0.5000 0.5000
0.0000 0.0000 0.0000

Q | Li3LaIn3 GGA-PBE optimized geometry; volume = 23.53 Å³/atom
1.0
-0.1229 4.7105 0.6004
-3.9083 -0.8478 5.8516
9.7984 -0.1173 2.9263
In Li La
6 6 2
Direct
0.2500 0.0084 0.6278
0.2500 0.2767 0.4494
0.7500 0.7233 0.5506
0.7500 0.3796 0.0516
0.2500 0.6204 0.9484
0.7500 0.9916 0.3722
0.2500 0.0750 0.1615
0.2500 0.1983 0.9118
0.7500 0.8017 0.0882
0.7500 0.9250 0.8385
0.7500 0.3482 0.3232
0.2500 0.6518 0.6768
0.7500 0.3507 0.7068
0.2500 0.6493 0.2932

Computed stability ranking, most favorable first: Q, P

P | Li2LaInO GGA-PBE optimized geometry; volume = 21.73 Å³/atom
1.0
-0.5412 -1.1244 4.6468
4.6324 -0.6490 0.3825
0.5509 4.6306 1.1846
La Li In O
1 2 1 1
Direct
0.5000 0.5000 0.5000
0.5000 0.0000 0.0000
0.0000 0.0000 0.5000
0.0000 0.0000 0.0000
0.0000 0.5000 0.0000

Q | Li2LaInO GGA-PBE optimized geometry; volume = 32.87 Å³/atom
1.0
6.2502 0.0000 0.0000
0.0000 4.2065 0.0000
0.0000 0.0000 6.2502
Li O In La
2 1 1 1
Direct
0.5000 0.0000 0.0000
0.0000 0.0000 0.5000
0.0000 0.5000 0.0000
0.5000 0.5000 0.5000
0.0000 0.0000 0.0000

R | Li2LaInO GGA-PBE optimized geometry; volume = 21.30 Å³/atom
1.0
-0.5873 4.7746 -0.3818
-1.8231 -0.5785 -4.4305
-4.1981 -0.3743 1.7764
La O In Li
1 1 1 2
Direct
0.0000 0.0000 0.5000
0.0000 0.0000 0.0000
0.5000 0.5000 0.5000
0.5000 0.0000 0.0000
0.0000 0.5000 0.0000

Computed stability ranking, most favorable first: R, Q, P

P | LiLa2InPt GGA-PBE optimized geometry; volume = 27.59 Å³/atom
1.0
4.2205 0.0000 0.0000
0.0000 8.3385 0.3183
0.0000 -3.1904 7.7185
La Pt Li In
4 2 2 2
Direct
0.2500 0.1057 0.3473
0.7500 0.7121 0.0167
0.7500 0.8943 0.6527
0.2500 0.2879 0.9833
0.7500 0.1137 0.1062
0.2500 0.8863 0.8938
0.2500 0.5637 0.6463
0.7500 0.4363 0.3537
0.2500 0.6752 0.3229
0.7500 0.3248 0.6771

Q | LiLa2InPt GGA-PBE optimized geometry; volume = 30.31 Å³/atom
1.0
5.6302 0.0000 0.0000
0.0000 5.6302 0.0000
0.0000 0.0000 4.7802
La Pt In Li
2 1 1 1
Direct
0.5000 0.0000 0.0000
0.0000 0.5000 0.0000
0.0000 0.0000 0.0000
0.5000 0.5000 0.5000
0.0000 0.0000 0.5000

Computed stability ranking, most favorable first: P, Q

P | LiLa2InRu GGA-PBE optimized geometry; volume = 31.46 Å³/atom
1.0
5.4265 0.0000 0.0000
0.0000 5.4265 0.0000
0.0000 0.0000 5.3420
La Li In Ru
2 1 1 1
Direct
0.5000 0.0000 0.0000
0.0000 0.5000 0.0000
0.5000 0.5000 0.5000
0.0000 0.0000 0.5000
0.0000 0.0000 0.0000

Q | LiLa2InRu GGA-PBE optimized geometry; volume = 28.42 Å³/atom
1.0
-1.1555 -4.5495 2.5000
3.0908 1.4548 4.0759
-3.9404 2.2094 2.1995
La Li In Ru
2 1 1 1
Direct
0.0000 0.5000 0.0000
0.5000 0.0000 0.0000
0.0000 0.0000 0.5000
0.5000 0.5000 0.5000
0.0000 0.0000 0.0000

Computed stability ranking, most favorable first: P, Q

P | LaLu2In GGA-PBE optimized geometry; volume = 29.45 Å³/atom
1.0
3.5840 0.0000 0.0000
0.0000 3.5840 0.0000
0.0000 0.0000 9.1708
In La Lu
1 1 2
Direct
0.5000 0.5000 0.0000
0.5000 0.5000 0.5000
0.0000 0.0000 0.2177
0.0000 0.0000 0.7823

Q | LaLu2In GGA-PBE optimized geometry; volume = 29.01 Å³/atom
1.0
4.8320 0.0000 0.0000
0.0000 4.9002 0.0000
0.0000 0.0000 4.9002
In Lu La
1 2 1
Direct
0.5000 0.0000 0.0000
0.0000 0.0000 0.5000
0.0000 0.5000 0.0000
0.5000 0.5000 0.5000

Computed stability ranking, most favorable first: Q, P